Entry 1:
Entry from Alexandria via LeMat-Bulk: SrSbAu2Br after structural relaxation (PBE).

Cell lengths 5.1301, 5.1301, 6.7090 Å; angles 90.00, 90.00, 90.00 degrees
Fractional coordinates of all 5 atoms:
Sr  0.0000  0.0000  0.0000
Sb  0.0000  0.0000  0.5000
Au  0.0000  0.5000  0.5000
Au  0.5000  0.0000  0.5000
Br  0.5000  0.5000  0.0000

Computed properties:
E_form (uncorrected): -0.5178 eV/atom
Total energy: -3.32 eV/atom
Space group: No. 123

=====

Entry 2:
Entry from Alexandria via LeMat-Bulk: Sb2TeAuBr after structural relaxation (PBE).

Cell lengths 5.5180, 5.5180, 5.3890 Å; angles 90.00, 90.00, 90.00 degrees
Fractional coordinates of all 5 atoms:
Sb  0.0000  0.5000  0.0000
Sb  0.5000  0.0000  0.0000
Te  0.0000  0.0000  0.5000
Au  0.0000  0.0000  0.0000
Br  0.5000  0.5000  0.5000

Computed properties:
E_form (uncorrected): 0.5050 eV/atom
Distance to the lowest polymorph of the same formula: 0.000 eV per formula unit
Total energy: -2.76 eV/atom
Space group: No. 123

=====

Entry 3:
Entry from Alexandria via LeMat-Bulk: SbTe2AuBr after structural relaxation (PBE).

Cell lengths 5.4053, 5.4053, 5.6444 Å; angles 90.00, 90.00, 90.00 degrees
Fractional coordinates of all 5 atoms:
Sb  0.0000  0.0000  0.0000
Te  0.0000  0.5000  0.5000
Te  0.5000  0.0000  0.5000
Au  0.0000  0.0000  0.5000
Br  0.5000  0.5000  0.0000

Computed properties:
E_form (uncorrected): 0.4875 eV/atom
Distance to the lowest polymorph of the same formula: 0.000 eV per formula unit
Total energy: -2.58 eV/atom
Space group: No. 123